(1)
! SiAg2Rh | Alexandria via LeMat-Bulk | PBE | optimized geometry; values from VASP
&SYSTEM
  ibrav = 0, nat = 4, ntyp = 3
/
ATOMIC_SPECIES
Ag 107.87 Ag.upf
Rh 102.91 Rh.upf
Si 28.09 Si.upf
CELL_PARAMETERS angstrom
6.4739 0.0636 -0.0088
4.6244 4.5310 0.0088
-5.2842 -2.9373 2.3162
ATOMIC_POSITIONS angstrom
Ag 0.7018 0.2906 0.0000
Ag 4.8473 2.0068 0.0000
Rh 3.3694 -0.2882 1.1537
Si 2.4447 1.9455 1.1625
! Formation energy without anion corrections   -0.0723 eV/atom
! Spin magnetization   0.00 μB/f.u.


(2)
! LiHgPS4 | Alexandria via LeMat-Bulk | PBE | optimized geometry; values from VASP
&SYSTEM
  ibrav = 0, nat = 14, ntyp = 4
/
ATOMIC_SPECIES
Li 6.94 Li.upf
Hg 200.59 Hg.upf
P 30.97 P.upf
S 32.06 S.upf
CELL_PARAMETERS angstrom
6.1331 0.0000 0.9772
0.0000 7.0992 0.0000
-1.3220 0.0000 7.2794
ATOMIC_POSITIONS angstrom
Li 4.7348 5.3244 4.4401
Li 0.0764 1.7748 3.8165
Hg 4.7764 5.3244 1.2234
Hg 0.0348 1.7748 7.0332
P 1.4028 5.3244 2.0635
P 3.4084 1.7748 6.1931
S 4.7776 3.3791 6.3793
S 0.0335 6.9287 1.8773
S 0.0335 3.7201 1.8773
S 4.7776 0.1705 6.3793
S 1.1973 5.3244 7.5887
S 3.6139 1.7748 0.6678
S 2.3124 5.3244 3.8082
S 2.4987 1.7748 4.4484
! Formation energy without anion corrections   -0.3677 eV/atom
! Spin magnetization   0.00 μB/f.u.